An optimized crystal structure of La2Pr2Pd3, computed with PBE.

Unit cell a=4.276 b=7.267 c=7.367 alpha=99.68 beta=90.02 gamma=107.17
Fractional positions:
Pd 0.751 0.503 0.252
Pr 0.870 0.738 0.629
Pd 0.249 0.497 0.748
Pd 0.000 0.000 0.000
La 0.626 0.251 0.881
La 0.374 0.749 0.119
Pr 0.130 0.262 0.371

Calculated values
M_tot in μB per formula unit: 0.00
Calculated volume in Å³ per atom: 30.8
Energy relative to the elements in eV per atom: -0.5907